No. 1
A plane-wave DFT calculation with PBE was carried out for an optimized crystal structure of PaMnFeGe.

abc: 4.4243 4.4243 4.4243
angles: 60.00 60.00 60.00
Last column: nearest neighbours and their distance in Å.
Element x y z (fractional)
Pa: 0.7500 0.7500 0.7500  4 Mn 2.71, 4 Fe 2.71
Ge: 0.2500 0.2500 0.2500  4 Mn 2.71, 4 Fe 2.71
Fe: 0.0000 0.0000 0.0000  4 Ge 2.71, 4 Pa 2.71
Mn: 0.5000 0.5000 0.5000  4 Ge 2.71, 4 Pa 2.71

Calculated values
* final energy: -32.228 eV for the cell shown
* space group: No. 216

=====

No. 2
A plane-wave DFT calculation with PBE was carried out for an optimized crystal structure of MnFe2GePb.

abc: 4.4941 5.4068 4.4941
angles: 90.00 90.00 90.00
Last column: nearest neighbours and their distance in Å.
Element x y z (fractional)
Fe: 0.0000 0.0000 0.5000  2 Ge 2.25
Fe: 0.5000 0.0000 0.0000  2 Ge 2.25
Ge: 0.0000 0.0000 0.0000  4 Fe 2.25
Pb: 0.0000 0.5000 0.0000  2 Ge 2.70
Mn: 0.5000 0.5000 0.5000  4 Pb 3.18, 8 Fe 3.52

Calculated values
* final energy: -29.160 eV for the cell shown
* space group: No. 123